Run i
The following is a DFT calculation (PBE) of a relaxed structure of CsCI3.

Cell and atoms, written as CIF:
```
data_CsCI3
_cell_length_a 5.485
_cell_length_b 5.485
_cell_length_c 5.485
_cell_angle_alpha 90.00
_cell_angle_beta 90.00
_cell_angle_gamma 90.00
_space_group_name_H-M_alt 'P m -3 m'
_space_group_IT_number 221
_space_group_name_Hall '-P 4 2 3'
loop_
_atom_site_label
_atom_site_fract_x
_atom_site_fract_y
_atom_site_fract_z
_atom_site_occupancy
Cs1 0.000 0.000 0.000 1
C1 0.500 0.500 0.500 1
I1 0.000 0.500 0.500 1
```

Results
DOS(E_F) ... 0.36 states/eV/f.u.

=====

Run ii
The following is a DFT calculation (PBE) of a relaxed structure of CsCI3.

Cell and atoms, written as CIF:
```
data_CsCI3
_cell_length_a 7.555
_cell_length_b 7.555
_cell_length_c 7.555
_cell_angle_alpha 90.00
_cell_angle_beta 90.00
_cell_angle_gamma 90.00
_space_group_name_H-M_alt 'P m -3 m'
_space_group_IT_number 221
_space_group_name_Hall '-P 4 2 3'
loop_
_atom_site_label
_atom_site_fract_x
_atom_site_fract_y
_atom_site_fract_z
_atom_site_occupancy
Cs1 0.000 0.000 0.000 1
C1 0.500 0.500 0.500 1
I1 0.000 0.000 0.500 1
```

Results
DOS(E_F) ... 53.96 states/eV/f.u.

=====

Energy ordering: run i at the bottom, the next structure 1.247 eV/atom above.